1.
Er6ThSe8: optimized geometry, GGA-PBE.

Cell: 8.0677 8.0677 8.0677 Å, 60.00 60.00 60.00°
Last column: nearest neighbours and their distance in Å.
Element x y z (fractional)
Er 0.0000 0.5000 0.5000  6 Se 2.85-2.86
Er 0.5000 0.0000 0.0000  6 Se 2.85-2.86
Er 0.5000 0.5000 0.0000  6 Se 2.85-2.86
Er 0.0000 0.0000 0.5000  6 Se 2.85-2.86
Er 0.0000 0.5000 0.0000  6 Se 2.85-2.86
Er 0.5000 0.0000 0.5000  6 Se 2.85-2.86
Th 0.0000 0.0000 0.0000  6 Se 3.00
Se 0.7500 0.7500 0.7500  6 Er 2.85
Se 0.2500 0.2500 0.2500  6 Er 2.85
Se 0.7373 0.2627 0.2627  4 Er 2.86, 1 Th 3.00
Se 0.2627 0.7373 0.7373  4 Er 2.86, 1 Th 3.00
Se 0.2627 0.2627 0.7373  4 Er 2.86, 1 Th 3.00
Se 0.7373 0.7373 0.2627  4 Er 2.86, 1 Th 3.00
Se 0.7373 0.2627 0.7373  4 Er 2.86, 1 Th 3.00
Se 0.2627 0.7373 0.2627  4 Er 2.86, 1 Th 3.00

Computed properties:
SG: Fm-3m
Magnetic moment, μB/atom: 0.00
Fermi-level density of states, states/eV/f.u.: 7.294



2.
Er3ThSe4: optimized geometry, GGA-PBE.

Cell: 4.0271 7.1079 7.1079 Å, 108.84 90.00 90.00°
Last column: nearest neighbours and their distance in Å.
Element x y z (fractional)
Er 0.0000 0.0000 0.5000  6 Se 2.89
Er 0.5000 0.5000 0.5000  6 Se 2.81-2.82
Er 0.0000 0.5000 0.0000  6 Se 2.89
Th 0.5000 0.0000 0.0000  6 Se 2.96
Se 0.0000 0.2623 0.2623  4 Er 2.81-2.89, 2 Th 2.96
Se 0.5000 0.7441 0.2559  5 Er 2.82-2.89, 1 Th 2.96
Se 0.0000 0.7377 0.7377  4 Er 2.81-2.89, 2 Th 2.96
Se 0.5000 0.2559 0.7441  5 Er 2.82-2.89, 1 Th 2.96

Computed properties:
SG: Cmmm
Magnetic moment, μB/atom: 0.00
Fermi-level density of states, states/eV/f.u.: 4.185
ΔE to the lowest computed polymorph, kJ per mole of atoms: 0.9



3.
Er2Th2Se7: optimized geometry, GGA-PBE.

Cell: 4.1827 8.8601 8.8601 Å, 61.85 76.35 76.35°
Last column: nearest neighbours and their distance in Å.
Element x y z (fractional)
Er 0.0000 0.7914 0.2086  4 Se 2.80-2.90
Er 0.5000 0.3295 0.6705  7 Se 2.89-2.97
Th 0.7368 0.8478 0.6785  7 Se 2.88-3.14
Th 0.2632 0.3215 0.1522  7 Se 2.88-3.14
Se 0.8174 0.0673 0.2979  1 Er 2.80, 3 Th 2.88-2.98
Se 0.8627 0.4240 0.8506  2 Er 2.92, 2 Th 3.14
Se 0.5000 0.0125 0.9875  3 Er 2.89-2.90
Se 0.6096 0.4946 0.2862  3 Er 2.97-3.14, 2 Th 3.07, 1 Se 3.20
Se 0.3904 0.7138 0.5054  3 Er 2.97-3.14, 2 Th 3.07, 1 Se 3.20
Se 0.1826 0.7021 0.9327  1 Er 2.80, 3 Th 2.88-2.98
Se 0.1373 0.1494 0.5760  2 Er 2.92, 2 Th 3.14

Computed properties:
SG: Imm2
Magnetic moment, μB/atom: 0.00
Fermi-level density of states, states/eV/f.u.: 0.116



4.
Er3Th2Se6: optimized geometry, GGA-PBE.

Cell: 7.0437 7.0703 7.1206 Å, 80.43 70.50 60.12°
Last column: nearest neighbours and their distance in Å.
Element x y z (fractional)
Er 0.0000 0.0000 0.0000  6 Se 2.83-2.94
Er 0.3333 0.3335 0.0000  6 Se 2.83-2.92
Er 0.6667 0.6665 0.0000  6 Se 2.83-2.92
Th 0.1656 0.6688 0.5000  6 Se 2.94-2.96
Th 0.8344 0.3312 0.5000  6 Se 2.94-2.96
Se 0.4141 0.6767 0.7590  3 Er 2.83-2.92, 2 Th 2.96
Se 0.7355 0.0000 0.7556  3 Er 2.83-2.94, 2 Th 2.94
Se 0.0908 0.3233 0.7590  3 Er 2.83-2.92, 2 Th 2.96
Se 0.2645 0.0000 0.2444  3 Er 2.83-2.94, 2 Th 2.94
Se 0.5859 0.3233 0.2410  3 Er 2.83-2.92, 2 Th 2.96
Se 0.9092 0.6767 0.2410  3 Er 2.83-2.92, 2 Th 2.96

Computed properties:
SG: C2/m
Magnetic moment, μB/atom: 0.00
Fermi-level density of states, states/eV/f.u.: 4.986



5.
Er3Th4Se8: optimized geometry, GGA-PBE.

Cell: 7.7877 7.7877 9.2562 Å, 65.12 65.12 60.00°
Last column: nearest neighbours and their distance in Å.
Element x y z (fractional)
Er 0.5000 0.0000 0.5000  6 Se 2.76-2.90
Er 0.0000 0.0000 0.5000  6 Se 2.76-2.90
Er 0.0000 0.5000 0.5000  6 Se 2.76-2.90
Th 0.0000 0.0000 0.0000  6 Se 3.08
Th 0.3487 0.3487 0.9540  4 Se 2.82-2.94
Th 0.5000 0.5000 0.5000  6 Se 2.98
Th 0.6513 0.6513 0.0460  4 Se 2.82-2.94
Se 0.2323 0.2323 0.3030  3 Er 2.76, 1 Th 2.82
Se 0.2334 0.7491 0.2685  2 Er 2.90, 3 Th 2.94-3.08
Se 0.7491 0.7491 0.2685  2 Er 2.90, 3 Th 2.94-3.08
Se 0.7491 0.2334 0.2685  2 Er 2.90, 3 Th 2.94-3.08
Se 0.7677 0.7677 0.6970  3 Er 2.76, 1 Th 2.82
Se 0.7666 0.2509 0.7315  2 Er 2.90, 3 Th 2.94-3.08
Se 0.2509 0.2509 0.7315  2 Er 2.90, 3 Th 2.94-3.08
Se 0.2509 0.7666 0.7315  2 Er 2.90, 3 Th 2.94-3.08

Computed properties:
SG: R-3m
Magnetic moment, μB/atom: 0.00
Fermi-level density of states, states/eV/f.u.: 10.609



6.
Er3Th5Se8: optimized geometry, GGA-PBE.

Cell: 8.0706 8.0706 8.5222 Å, 61.74 61.74 60.00°
Last column: nearest neighbours and their distance in Å.
Element x y z (fractional)
Er 0.5000 0.0000 0.5000  6 Se 2.85
Er 0.0000 0.0000 0.5000  6 Se 2.85
Er 0.0000 0.5000 0.5000  6 Se 2.85
Th 0.5000 0.0000 0.0000  6 Se 3.02
Th 0.5000 0.5000 0.0000  6 Se 3.02
Th 0.0000 0.0000 0.0000  6 Se 2.95
Th 0.0000 0.5000 0.0000  6 Se 3.02
Th 0.5000 0.5000 0.5000  6 Se 2.92
Se 0.2503 0.2503 0.7358  2 Er 2.85, 4 Th 2.92-3.02
Se 0.2503 0.7635 0.7358  2 Er 2.85, 4 Th 2.92-3.02
Se 0.7635 0.2503 0.7358  2 Er 2.85, 4 Th 2.92-3.02
Se 0.7565 0.7565 0.7306  3 Er 2.85, 3 Th 3.02
Se 0.7497 0.7497 0.2642  2 Er 2.85, 4 Th 2.92-3.02
Se 0.7497 0.2365 0.2642  2 Er 2.85, 4 Th 2.92-3.02
Se 0.2365 0.7497 0.2642  2 Er 2.85, 4 Th 2.92-3.02
Se 0.2435 0.2435 0.2694  3 Er 2.85, 3 Th 3.02

Computed properties:
SG: R-3m
Magnetic moment, μB/atom: 0.00
Fermi-level density of states, states/eV/f.u.: 7.836



7.
ErTh6Se12: optimized geometry, GGA-PBE.

Cell: 8.4115 8.4115 8.4115 Å, 100.21 100.21 100.21°
Last column: nearest neighbours and their distance in Å.
Element x y z (fractional)
Er 0.0000 0.0000 0.0000  6 Se 2.79
Th 0.6930 0.8631 0.3668  7 Se 2.92-3.18
Th 0.6332 0.3070 0.1369  7 Se 2.92-3.18
Th 0.1369 0.6332 0.3070  7 Se 2.92-3.18
Th 0.3070 0.1369 0.6332  7 Se 2.92-3.18
Th 0.3668 0.6930 0.8631  7 Se 2.92-3.18
Th 0.8631 0.3668 0.6930  7 Se 2.92-3.18
Se 0.8248 0.5758 0.4355  4 Th 2.94-3.05
Se 0.4355 0.8248 0.5758  4 Th 2.94-3.05
Se 0.5758 0.4355 0.8248  4 Th 2.94-3.05
Se 0.1752 0.4242 0.5645  4 Th 2.94-3.05
Se 0.5645 0.1752 0.4242  4 Th 2.94-3.05
Se 0.4242 0.5645 0.1752  4 Th 2.94-3.05
Se 0.0644 0.9615 0.3257  1 Er 2.79, 2 Th 2.92-2.96
Se 0.0385 0.6743 0.9356  1 Er 2.79, 2 Th 2.92-2.96
Se 0.6743 0.9356 0.0385  1 Er 2.79, 2 Th 2.92-2.96
Se 0.9356 0.0385 0.6743  1 Er 2.79, 2 Th 2.92-2.96
Se 0.9615 0.3257 0.0644  1 Er 2.79, 2 Th 2.92-2.96
Se 0.3257 0.0644 0.9615  1 Er 2.79, 2 Th 2.92-2.96

Computed properties:
SG: R-3
Magnetic moment, μB/atom: 0.00
Fermi-level density of states, states/eV/f.u.: 13.027



8.
ErThSe: optimized geometry, GGA-PBE.

Cell: 3.8411 3.8411 6.8204 Å, 90.00 90.00 120.00°
Last column: nearest neighbours and their distance in Å.
Element x y z (fractional)
Se 0.3333 0.6667 0.6558  3 Er 2.89, 3 Th 3.03
Th 0.0000 0.0000 0.9595  3 Se 3.03
Er 0.6667 0.3333 0.3848  3 Se 2.89

Computed properties:
SG: P3m1
Magnetic moment, μB/atom: 0.26
Fermi-level density of states, states/eV/f.u.: 2.695
ΔE to the lowest computed polymorph, kJ per mole of atoms: 0.0



9.
Er3ThSe6: optimized geometry, GGA-PBE.

Cell: 4.0683 11.5309 11.8329 Å, 108.56 90.00 90.00°
Last column: nearest neighbours and their distance in Å.
Element x y z (fractional)
Er 0.7500 0.4334 0.8350  6 Se 2.81-2.86
Er 0.2500 0.5666 0.1650  6 Se 2.81-2.86
Er 0.7500 0.6791 0.4998  7 Se 2.80-3.03
Er 0.2500 0.3209 0.5002  7 Se 2.80-3.03
Er 0.7500 0.1592 0.0815  6 Se 2.79-2.85
Er 0.2500 0.8408 0.9185  6 Se 2.79-2.85
Th 0.7500 0.0472 0.6976  8 Se 3.03-3.11
Th 0.2500 0.9528 0.3024  8 Se 3.03-3.11
Se 0.7500 0.4816 0.6168  4 Er 2.80-3.02
Se 0.2500 0.5184 0.3832  4 Er 2.80-3.02
Se 0.7500 0.9169 0.0949  3 Er 2.85, 2 Th 3.11
Se 0.2500 0.0831 0.9051  3 Er 2.85, 2 Th 3.11
Se 0.7500 0.3936 0.0612  4 Er 2.79-2.86
Se 0.2500 0.6064 0.9388  4 Er 2.79-2.86
Se 0.7500 0.7410 0.2736  3 Er 2.86-2.98, 2 Th 3.11
Se 0.2500 0.2590 0.7264  3 Er 2.86-2.98, 2 Th 3.11
Se 0.7500 0.1179 0.4675  2 Er 3.03, 3 Th 3.03-3.08
Se 0.2500 0.8821 0.5325  2 Er 3.03, 3 Th 3.03-3.08
Se 0.7500 0.8056 0.7481  3 Er 2.80-2.83, 1 Th 3.03
Se 0.2500 0.1944 0.2519  3 Er 2.80-2.83, 1 Th 3.03

Computed properties:
SG: P2_1/m
Magnetic moment, μB/atom: 0.00
Fermi-level density of states, states/eV/f.u.: 1.709



10.
ErThSe: optimized geometry, GGA-PBE.

Cell: 3.6167 3.6167 6.7323 Å, 105.58 105.58 90.00°
Last column: nearest neighbours and their distance in Å.
Element x y z (fractional)
Th 0.9801 0.9801 0.9603  4 Se 3.19
Se 0.3274 0.3274 0.6548  4 Er 3.06, 4 Th 3.19
Er 0.6924 0.6924 0.3849  4 Se 3.06

Computed properties:
SG: I4mm
Magnetic moment, μB/atom: 0.00
Fermi-level density of states, states/eV/f.u.: 3.530
ΔE to the lowest computed polymorph, kJ per mole of atoms: 10.6



11.
ErTh4Se5: optimized geometry, GGA-PBE.

Cell: 5.9014 7.2329 7.2329 Å, 80.42 65.92 65.92°
Last column: nearest neighbours and their distance in Å.
Element x y z (fractional)
Er 0.0019 0.0000 0.0000  6 Se 2.84-2.95
Th 0.4067 0.4014 0.7868  6 Se 2.96-3.00
Th 0.8082 0.7868 0.5986  6 Se 2.96-3.00
Th 0.1936 0.2132 0.4014  6 Se 2.96-3.00
Th 0.5950 0.5986 0.2132  6 Se 2.96-3.00
Se 0.8988 0.3883 0.8158  1 Er 2.84, 5 Th 2.96-3.00
Se 0.2871 0.8158 0.6117  1 Er 2.84, 5 Th 2.96-3.00
Se 0.7146 0.1842 0.3883  1 Er 2.84, 5 Th 2.96-3.00
Se 0.1029 0.6117 0.1842  1 Er 2.84, 5 Th 2.96-3.00
Se 0.5017 0.0000 0.0000  2 Er 2.95, 4 Th 3.00

Computed properties:
SG: I4
Magnetic moment, μB/atom: 0.00
Fermi-level density of states, states/eV/f.u.: 7.626



12.
Er3ThSe4: optimized geometry, GGA-PBE.

Cell: 4.0045 4.0045 27.7375 Å, 90.00 90.00 120.00°
Last column: nearest neighbours and their distance in Å.
Element x y z (fractional)
Se 0.6667 0.3333 0.9397  6 Er 2.85-2.86
Se 0.3333 0.6667 0.0603  6 Er 2.85-2.86
Se 0.3333 0.6667 0.4397  6 Er 2.85-2.86
Se 0.6667 0.3333 0.5603  6 Er 2.85-2.86
Se 0.0000 0.0000 0.8196  3 Er 2.84, 3 Th 3.01
Se 0.0000 0.0000 0.1804  3 Er 2.84, 3 Th 3.01
Se 0.0000 0.0000 0.3196  3 Er 2.84, 3 Th 3.01
Se 0.0000 0.0000 0.6804  3 Er 2.84, 3 Th 3.01
Th 0.6667 0.3333 0.7500  6 Se 3.01
Th 0.3333 0.6667 0.2500  6 Se 3.01
Er 0.0000 0.0000 0.0000  6 Se 2.85
Er 0.0000 0.0000 0.5000  6 Se 2.85
Er 0.3333 0.6667 0.8788  6 Se 2.84-2.86
Er 0.6667 0.3333 0.1212  6 Se 2.84-2.86
Er 0.6667 0.3333 0.3788  6 Se 2.84-2.86
Er 0.3333 0.6667 0.6212  6 Se 2.84-2.86

Computed properties:
SG: P6_3/mmc
Magnetic moment, μB/atom: 0.00
Fermi-level density of states, states/eV/f.u.: 4.140
ΔE to the lowest computed polymorph, kJ per mole of atoms: 0.0



Number 1: formation energy (no corrections) -1.732 eV/atom. Number 2: formation energy (no corrections) -1.637 eV/atom. Number 3: formation energy (no corrections) -1.765 eV/atom. Number 4: formation energy (no corrections) -1.730 eV/atom. Number 5: formation energy (no corrections) -1.358 eV/atom. Number 6: formation energy (no corrections) -1.592 eV/atom. Number 7: formation energy (no corrections) -1.664 eV/atom. Number 8: formation energy (no corrections) -0.929 eV/atom. Number 9: formation energy (no corrections) -1.826 eV/atom. Number 10: formation energy (no corrections) -0.819 eV/atom. Number 11: formation energy (no corrections) -1.561 eV/atom. Number 12: formation energy (no corrections) -1.646 eV/atom.